(1)
The following is a GGA-PBE calculation of ZnNiHgSb after structural relaxation, from OQMD via LeMat-Bulk.

abc: 4.767 4.767 4.767
angles: 60.00 60.00 60.00
Positions (direct):
Zn (0.500, 0.500, 0.500)
Sb (0.000, 0.000, 0.000)
Hg (0.250, 0.250, 0.250)
Ni (0.750, 0.750, 0.750)

Calculated values
E_tot, eV/cell: -9.8
Crystal system: cubic
Magnetic moment, μB per formula unit: 0.00

***

(2)
The following is a GGA-PBE calculation of TbTlNiTe3 after structural relaxation, from OQMD via LeMat-Bulk.

abc: 9.126 9.126 9.507
angles: 104.26 104.26 27.83
Positions (direct):
Te (0.000, 0.000, 0.000)
Ni (0.501, 0.501, 0.175)
Te (0.649, 0.649, 0.854)
Ni (0.499, 0.499, 0.825)
Tl (0.858, 0.858, 0.432)
Te (0.352, 0.352, 0.702)
Te (0.648, 0.648, 0.298)
Tl (0.142, 0.142, 0.568)
Tb (0.825, 0.825, 0.907)
Te (0.500, 0.500, 0.500)
Te (0.351, 0.351, 0.146)
Tb (0.175, 0.175, 0.093)

Calculated values
E_tot, eV/cell: -50.6
Distance to the lowest polymorph of the same formula, meV/atom: 136
Crystal system: monoclinic
Magnetic moment, μB per formula unit: 0.00

***

(3)
The following is a GGA-PBE calculation of HfBePO after structural relaxation, from OQMD via LeMat-Bulk.

abc: 3.872 3.872 8.726
angles: 90.00 90.00 90.00
Each line ends with the local moment (μB).
Positions (direct):
P (0.000, 0.500, 0.313)  0.00
Hf (0.000, 0.000, 0.500)  0.06
Be (0.000, 0.500, 0.008)  0.00
Be (0.500, 0.000, 0.992)  0.00
P (0.500, 0.000, 0.687)  0.00
O (0.500, 0.500, 0.000)  0.00
Hf (0.500, 0.500, 0.500)  0.06
O (0.000, 0.000, 0.000)  0.00

Calculated values
E_tot, eV/cell: -53.7
Distance to the lowest polymorph of the same formula, meV/atom: 845
Crystal system: tetragonal
Magnetic moment, μB per formula unit: 0.09

***

(4)
The following is a GGA-PBE calculation of Co6P4Au after structural relaxation, from OQMD via LeMat-Bulk.

abc: 6.603 6.603 3.311
angles: 90.00 90.00 120.00
Each line ends with the local moment (μB).
Positions (direct):
P (0.667, 0.333, 0.000)  0.00
Au (0.000, 0.000, 0.000)  0.00
Co (0.464, 0.536, 0.000)  0.07
P (0.189, 0.811, 0.500)  0.00
P (0.189, 0.379, 0.500)  0.00
Co (0.804, 0.196, 0.500)  0.01
Co (0.391, 0.196, 0.500)  0.02
P (0.621, 0.811, 0.500)  0.00
Co (0.804, 0.609, 0.500)  0.01
Co (0.072, 0.536, 0.000)  0.07
Co (0.464, 0.928, 0.000)  0.06

Calculated values
E_tot, eV/cell: -72.7
Crystal system: hexagonal
Magnetic moment, μB per formula unit: 0.23

***

(5)
The following is a GGA-PBE calculation of PrNpIr after structural relaxation, from OQMD via LeMat-Bulk.

abc: 4.801 4.801 4.801
angles: 60.00 60.00 60.00
Positions (direct):
Np (0.750, 0.750, 0.750)
Pr (0.250, 0.250, 0.250)
Ir (0.000, 0.000, 0.000)

Calculated values
Energy of formation, meV per atom: -90.8
E_tot, eV/cell: -26.7
Distance to the lowest polymorph of the same formula, meV/atom: 0
Crystal system: cubic
Magnetic moment, μB per formula unit: 4.53

***

(6)
The following is a GGA-PBE calculation of CdHgSO after structural relaxation, from OQMD via LeMat-Bulk.

abc: 7.232 7.232 6.102
angles: 90.00 90.00 150.28
Positions (direct):
O (0.588, 0.412, 0.027)
S (0.182, 0.818, 0.516)
O (0.412, 0.588, 0.527)
Hg (0.440, 0.560, 0.907)
Cd (0.826, 0.174, 0.443)
S (0.818, 0.182, 0.016)
Hg (0.560, 0.440, 0.407)
Cd (0.174, 0.826, 0.943)

Calculated values
E_tot, eV/cell: -24.0
Distance to the lowest polymorph of the same formula, meV/atom: 81
Crystal system: orthorhombic

***

(7)
The following is a GGA-PBE calculation of NbCuTe2 after structural relaxation, from OQMD via LeMat-Bulk.

abc: 4.946 4.946 4.946
angles: 60.00 60.00 60.00
Positions (direct):
Te (0.750, 0.750, 0.750)
Nb (0.500, 0.500, 0.500)
Cu (0.250, 0.250, 0.250)
Te (0.000, 0.000, 0.000)

Calculated values
E_tot, eV/cell: -17.6
Crystal system: cubic
Magnetic moment, μB per formula unit: 1.28

***

(8)
The following is a GGA-PBE calculation of GaCoOsAu after structural relaxation, from OQMD via LeMat-Bulk.

abc: 4.356 4.356 4.356
angles: 60.00 60.00 60.00
Positions (direct):
Au (0.500, 0.500, 0.500)
Os (0.250, 0.250, 0.250)
Co (0.750, 0.750, 0.750)
Ga (0.000, 0.000, 0.000)

Calculated values
E_tot, eV/cell: -23.2
Distance to the lowest polymorph of the same formula, meV/atom: 0
Crystal system: cubic
Magnetic moment, μB per formula unit: 2.04

***

(9)
The following is a GGA-PBE calculation of MgScZnFe after structural relaxation, from OQMD via LeMat-Bulk.

abc: 4.479 4.479 4.479
angles: 60.00 60.00 60.00
Each line ends with the local moment (μB).
Positions (direct):
Fe (0.750, 0.750, 0.750)  2.53
Sc (0.250, 0.250, 0.250)  -0.15
Mg (0.500, 0.500, 0.500)  -0.02
Zn (0.000, 0.000, 0.000)  -0.03

Calculated values
E_tot, eV/cell: -17.2
Distance to the lowest polymorph of the same formula, meV/atom: 39
Crystal system: cubic
Magnetic moment, μB per formula unit: 2.31

***

(10)
The following is a GGA-PBE calculation of UTlGa after structural relaxation, from OQMD via LeMat-Bulk.

abc: 4.968 4.968 4.968
angles: 60.00 60.00 60.00
Positions (direct):
Tl (0.750, 0.750, 0.750)
U (0.000, 0.000, 0.000)
Ga (0.250, 0.250, 0.250)

Calculated values
E_tot, eV/cell: -14.8
Distance to the lowest polymorph of the same formula, meV/atom: 198
Crystal system: cubic
Magnetic moment, μB per formula unit: 2.66

***

(11)
The following is a GGA-PBE calculation of YHfFeGe after structural relaxation, from OQMD via LeMat-Bulk.

abc: 4.670 4.670 4.670
angles: 60.00 60.00 60.00
Positions (direct):
Y (0.250, 0.250, 0.250)
Hf (0.500, 0.500, 0.500)
Ge (0.000, 0.000, 0.000)
Fe (0.750, 0.750, 0.750)

Calculated values
E_tot, eV/cell: -28.8
Distance to the lowest polymorph of the same formula, meV/atom: 0
Crystal system: cubic
Magnetic moment, μB per formula unit: 0.77

***

(12)
The following is a GGA-PBE calculation of DyEr2Mg3CdIn2 after structural relaxation, from OQMD via LeMat-Bulk.

abc: 4.614 7.519 7.519
angles: 120.19 90.00 90.00
Positions (direct):
In (0.500, 0.333, 0.668)
Er (0.000, 0.000, 0.573)
Dy (0.000, 0.428, 0.428)
In (0.500, 0.668, 0.333)
Cd (0.000, 0.998, 0.998)
Mg (0.500, 0.240, 0.000)
Er (0.000, 0.573, 0.000)
Mg (0.500, 0.759, 0.759)
Mg (0.500, 0.000, 0.240)

Calculated values
E_tot, eV/cell: -27.9
Crystal system: orthorhombic
Magnetic moment, μB per formula unit: 0.00

***

- Among the records above, which one has the highest E_tot?
  ZnNiHgSb

***

- E_tot of number 8 (GaCoOsAu)?
  -23.2 eV/cell

***

- Which of these has the lowest E_tot?
  Co6P4Au

***

Copy entry 2 word for word.
The following is a GGA-PBE calculation of TbTlNiTe3 after structural relaxation, from OQMD via LeMat-Bulk.

abc: 9.126 9.126 9.507
angles: 104.26 104.26 27.83
Positions (direct):
Te (0.000, 0.000, 0.000)
Ni (0.501, 0.501, 0.175)
Te (0.649, 0.649, 0.854)
Ni (0.499, 0.499, 0.825)
Tl (0.858, 0.858, 0.432)
Te (0.352, 0.352, 0.702)
Te (0.648, 0.648, 0.298)
Tl (0.142, 0.142, 0.568)
Tb (0.825, 0.825, 0.907)
Te (0.500, 0.500, 0.500)
Te (0.351, 0.351, 0.146)
Tb (0.175, 0.175, 0.093)

Calculated values
E_tot, eV/cell: -50.6
Distance to the lowest polymorph of the same formula, meV/atom: 136
Crystal system: monoclinic
Magnetic moment, μB per formula unit: 0.00